[1]
This record from the Alexandria database describes a geometry-optimized AcZnSnPd2 structure. The functional is PBE-GGA.

Lattice parameters (Å, degrees): 4.3379 4.3379 6.7093 108.86 108.86 90.00
Fractional coordinates of all 5 atoms:
Sn 0.2500 0.7500 0.5000
Pd 0.6156 0.6156 0.2311
Ac 0.0000 0.0000 0.0000
Pd 0.3844 0.3844 0.7689
Zn 0.7500 0.2500 0.5000

Results
E_form: -0.678 eV/atom
DOS at the Fermi energy: 3.649 states/eV/f.u.
volume: 112 Å³/cell
SG: No. 119
uncorrected energy: -4.632 eV/atom



[2]
This record from the Alexandria database describes a geometry-optimized PaGa3Au2 structure. The functional is PBE-GGA.

Lattice parameters (Å, degrees): 4.5545 8.1572 8.1511 56.13 73.78 73.79
Fractional coordinates of all 12 atoms:
Au 0.1964 0.3030 0.3041
Ga 0.3230 0.8785 0.4755
Ga 0.6777 0.5241 0.1205
Au 0.4996 0.1795 0.8213
Ga 0.3223 0.4759 0.8795
Ga 0.0004 0.6562 0.3431
Au 0.5004 0.8205 0.1787
Ga 0.6770 0.1215 0.5245
Au 0.8036 0.6970 0.6959
Pa 0.1258 0.8749 0.8735
Pa 0.8742 0.1251 0.1265
Ga 0.9996 0.3438 0.6569

Results
E_form: -0.310 eV/atom
DOS at the Fermi energy: 4.841 states/eV/f.u.
volume: 239 Å³/cell
SG: No. 12
uncorrected energy: -4.499 eV/atom



[3]
This record from the Alexandria database describes a geometry-optimized MnRe2Mo structure. The functional is PBE-GGA.

Lattice parameters (Å, degrees): 4.7230 4.7230 4.7405 80.03 80.03 33.83
Fractional coordinates of all 4 atoms:
Mo 0.2445 0.2445 0.2598
Re 0.0037 0.0037 0.9922
Re 0.7561 0.7561 0.7447
Mn 0.4957 0.4957 0.5032

Results
E_form: 0.166 eV/atom
DOS at the Fermi energy: 3.525 states/eV/f.u.
volume: 58 Å³/cell
distance to the lowest polymorph of the same formula: 0.0773 eV per atom
SG: No. 8
uncorrected energy: -11.058 eV/atom



[4]
This record from the Alexandria database describes a geometry-optimized TiFe2CoH structure. The functional is PBE-GGA.

Lattice parameters (Å, degrees): 3.6785 3.6785 3.6872 90.00 90.00 90.00
Fractional coordinates of all 5 atoms:
H 0.0000 0.0000 0.0000
Co 0.0000 0.0000 0.5000
Ti 0.5000 0.5000 0.5000
Fe 0.5000 0.0000 0.0000
Fe 0.0000 0.5000 0.0000

Results
DOS at the Fermi energy: 4.218 states/eV/f.u.
volume: 50 Å³/cell
distance to the lowest polymorph of the same formula: 0.0000 eV per atom
SG: No. 123
uncorrected energy: -7.226 eV/atom



[5]
This record from the Alexandria database describes a geometry-optimized BaAsSe2 structure. The functional is PBE-GGA.

Lattice parameters (Å, degrees): 6.2239 6.2239 8.8374 69.38 69.38 90.00
Fractional coordinates of all 8 atoms:
Se 0.8750 0.7934 0.7500
Se 0.3750 0.4566 0.7500
Ba 0.0000 0.0000 0.0000
As 0.2500 0.7500 0.5000
Se 0.5434 0.1250 0.2500
Se 0.2066 0.6250 0.2500
As 0.5000 0.5000 0.0000
Ba 0.7500 0.2500 0.5000

Results
energy relative to the elements, uncorrected: -0.7193 eV per atom
DOS at the Fermi energy: 1.459 states/eV/f.u.
volume: 297 Å³/cell
SG: No. 122
uncorrected energy: -4.105 eV/atom



[6]
This record from the Alexandria database describes a geometry-optimized TmHgTe2 structure. The functional is PBE-GGA.

Lattice parameters (Å, degrees): 4.3466 4.3466 8.1839 74.60 74.60 60.00
Fractional coordinates of all 4 atoms:
Hg 0.0000 0.0000 0.0000
Tm 0.5000 0.5000 0.5000
Te 0.7585 0.7585 0.7244
Te 0.2415 0.2415 0.2756

Results
energy relative to the elements, uncorrected: -0.7701 eV per atom
DOS at the Fermi energy: 1.644 states/eV/f.u.
volume: 127 Å³/cell
distance to the lowest polymorph of the same formula: 0.0000 eV per atom
SG: No. 166
uncorrected energy: -3.534 eV/atom